## Ba6MgAg3 (PBE)

Data for a geometry-optimized Ba6MgAg3 structure.

```
20
Lattice="13.0607 0.0000 0.0000 0.0000 4.8393 0.0000 -5.7529 0.0000 14.3811" Properties=species:S:1:pos:R:3 pbc="T T T"
Ba -2.0228 1.2098 5.6424
Ba -4.4027 1.2098 12.9882
Ba 1.3035 3.6294 4.5746
Ba -0.2089 3.6294 11.5050
Ba 3.9019 3.6294 1.2702
Ba 1.8260 1.2098 8.1374
Ba 5.4818 3.6294 6.2438
Ba 3.4060 1.2098 13.1109
Ba 7.5168 1.2098 2.8761
Ba 6.0043 1.2098 9.8066
Ba 11.7106 3.6294 1.3929
Ba 9.3306 3.6294 8.7388
Mg 3.8450 1.2098 4.0158
Mg 3.4629 3.6294 10.3653
Ag 1.3139 1.2098 2.1399
Ag -0.5338 3.6294 7.6537
Ag 0.0344 1.2098 14.0387
Ag 7.2735 3.6294 0.3424
Ag 7.8416 1.2098 6.7274
Ag 5.9939 3.6294 12.2412
```

Output
calculated formation energy: -118 meV/atom
volume: 45.45 Å³ per atom



## TeIrBr (PBE)

Data for a geometry-optimized TeIrBr structure.

```
6
Lattice="3.8928 0.0000 0.0000 0.0000 5.2677 0.0000 -0.0228 0.0000 8.4265" Properties=species:S:1:pos:R:3 pbc="T T T"
Te 0.9612 1.3169 3.6626
Te 2.9087 3.9508 4.7639
Ir 0.9623 3.9508 3.0331
Ir 2.9076 1.3169 5.3934
Br 0.9615 1.3169 7.1357
Br 2.9085 3.9508 1.2908
```

Output
E: -28.82 eV for the cell shown
volume: 28.80 Å³ per atom



## Li8Mg2Cd (PBE)

Data for a geometry-optimized Li8Mg2Cd structure.

```
11
Lattice="7.6133 -2.2844 0.0000 7.6133 2.2844 0.0000 -1.4603 0.0000 6.1884" Properties=species:S:1:pos:R:3 pbc="T T T"
Li 0.2085 0.0000 1.4455
Li 1.1433 0.0000 4.1040
Li 4.0765 0.0000 3.7081
Li 6.1665 0.0000 0.3246
Li 7.5998 0.0000 5.8638
Li 9.6897 0.0000 2.4803
Li 12.6229 0.0000 2.0845
Li 13.5577 0.0000 4.7429
Mg 3.1680 0.0000 0.8598
Mg 10.5982 0.0000 5.3287
Cd 6.8831 0.0000 3.0942
```

Output
calculated formation energy: -80 meV/atom
relative energy among the computed polymorphs: 0.0 meV per atom
volume: 19.57 Å³ per atom



## SmTi2Ga4 (PBE)

Data for a geometry-optimized SmTi2Ga4 structure.

```
14
Lattice="3.4941 0.0000 0.0000 0.0000 4.1382 0.0000 0.0000 0.0000 17.9365" Properties=species:S:1:pos:R:3 pbc="T T T"
Sm 0.0000 0.0000 0.0000
Sm 1.7470 2.0691 8.9682
Ti 0.0000 2.0691 3.5246
Ti 0.0000 2.0691 14.4118
Ti 1.7470 0.0000 5.4436
Ti 1.7470 0.0000 12.4929
Ga 0.0000 0.0000 7.6246
Ga 0.0000 0.0000 10.3118
Ga 0.0000 2.0691 6.1388
Ga 0.0000 2.0691 11.7976
Ga 1.7470 0.0000 2.8294
Ga 1.7470 0.0000 15.1071
Ga 1.7470 2.0691 1.3436
Ga 1.7470 2.0691 16.5929
```

Output
calculated formation energy: -438 meV/atom
volume: 18.52 Å³ per atom



## Ba4Sm4Zn3PtO15 (PBE)

Data for a geometry-optimized Ba4Sm4Zn3PtO15 structure.

```
54
Lattice="11.8192 0.0000 0.0000 -5.9096 10.2358 0.0000 0.0000 0.0000 6.7973" Properties=species:S:1:pos:R:3 pbc="T T T"
Ba 0.0000 3.5351 0.0000
Ba -2.8481 8.4682 0.0000
Ba 0.0000 6.8238 4.6177
Ba 3.0615 1.7675 3.3986
Ba 2.8481 8.4682 0.0000
Ba 5.9096 3.4119 1.2191
Ba 8.7578 1.7675 3.3986
Ba 5.9096 6.7007 3.3986
Sm 0.0000 0.0000 1.2535
Sm 0.0000 0.0000 4.6522
Sm -2.5539 5.3494 2.3151
Sm 2.5539 5.3494 2.3151
Sm 0.0000 9.7728 2.3151
Sm 5.9096 0.4630 5.7137
Sm 3.3557 4.8864 5.7137
Sm 8.4635 4.8864 5.7137
Zn 0.0000 3.5065 3.5156
Zn -2.8729 8.4825 3.5156
Zn 3.0367 1.7532 0.1169
Zn 2.8729 8.4825 3.5156
Zn 8.7825 1.7532 0.1169
Zn 5.9096 6.7293 0.1169
Pt 0.0000 6.8238 1.0685
Pt 5.9096 3.4119 4.4671
O -1.6734 4.0511 4.3634
O -3.2379 6.7609 4.3634
O 0.0000 1.6928 2.8099
O -4.4436 9.3893 2.8099
O 1.4660 0.8464 6.2086
O -1.4960 5.9601 6.7856
O 0.0000 5.1383 2.2485
O -1.4597 7.6666 2.2485
O 1.6734 4.0511 4.3634
O -1.5645 9.6594 4.3634
O 4.3451 0.5763 0.9648
O 2.6717 3.4748 0.9648
O 1.4960 5.9601 6.7856
O 0.0000 8.5513 6.7856
O 1.4597 7.6666 2.2485
O 4.4499 2.5692 5.6472
O 5.9096 1.6845 3.3870
O 4.4136 4.2756 3.3870
O 3.2379 6.7609 4.3634
O 1.5645 9.6594 4.3634
O 7.4741 0.5763 0.9648
O 4.2362 6.1846 0.9648
O 7.3693 2.5692 5.6472
O 5.9096 5.0974 5.6472
O 7.4056 4.2756 3.3870
O 4.4436 9.3893 2.8099
O 10.3532 0.8464 6.2086
O 5.9096 8.5429 6.2086
O 9.1476 3.4748 0.9648
O 7.5831 6.1846 0.9648
```

Output
E: -353.37 eV for the cell shown
volume: 15.23 Å³ per atom



## Tc2TeOs (PBE)

Data for a geometry-optimized Tc2TeOs structure.

```
12
Lattice="2.9522 0.0000 0.0000 -1.4761 2.5567 0.0000 0.0000 0.0000 25.8747" Properties=species:S:1:pos:R:3 pbc="T T T"
Tc 0.0000 0.0000 6.4027
Tc 0.0000 0.0000 19.4720
Tc 0.0000 1.7045 10.8471
Tc 0.0000 1.7045 23.6524
Tc 1.4761 0.8522 2.2222
Tc 1.4761 0.8522 15.0275
Te 0.0000 0.0000 0.0000
Te 0.0000 1.7045 17.2498
Te 1.4761 0.8522 8.6249
Os 0.0000 0.0000 12.9373
Os 0.0000 1.7045 4.3125
Os 1.4761 0.8522 21.5622
```

Output
relative energy among the computed polymorphs: 73.4 meV per atom
volume: 16.27 Å³ per atom



## HgAsPb (PBE)

Data for a geometry-optimized HgAsPb structure.

```
3
Lattice="5.2160 0.0000 0.0000 -2.6080 4.5172 0.0000 0.0000 0.0000 3.2472" Properties=species:S:1:pos:R:3 pbc="T T T"
Hg 0.0000 0.0000 0.0000
As 2.6080 1.5057 2.9320
Pb 0.0000 3.0114 1.6255
```

Output
calculated formation energy: 180 meV/atom
relative energy among the computed polymorphs: 129.3 meV per atom
volume: 25.50 Å³ per atom



## Ag3SeN (PBE)

Data for a geometry-optimized Ag3SeN structure.

```
5
Lattice="4.4305 0.0000 0.0000 0.0000 4.4305 0.0000 0.0000 0.0000 4.4305" Properties=species:S:1:pos:R:3 pbc="T T T"
Ag 0.0000 0.0000 2.2153
Ag 0.0000 2.2153 0.0000
Ag 2.2153 0.0000 0.0000
Se 2.2153 2.2153 2.2153
N 0.0000 0.0000 0.0000
```

Output
relative energy among the computed polymorphs: 0.0 meV per atom
volume: 17.39 Å³ per atom



## AlTeRu2Au (PBE)

Data for a geometry-optimized AlTeRu2Au structure.

```
5
Lattice="5.0402 0.0000 0.0000 0.0000 5.0402 0.0000 0.0000 0.0000 4.6130" Properties=species:S:1:pos:R:3 pbc="T T T"
Al 0.0000 0.0000 0.0000
Te 2.5201 2.5201 0.0000
Ru 0.0000 2.5201 2.3065
Ru 2.5201 0.0000 2.3065
Au 0.0000 0.0000 2.3065
```

Output
E: -22.32 eV for the cell shown
volume: 23.44 Å³ per atom



## CuGeSb2I (PBE)

Data for a geometry-optimized CuGeSb2I structure.

```
5
Lattice="5.0560 0.0000 0.0000 0.0000 5.0560 0.0000 0.0000 0.0000 5.4482" Properties=species:S:1:pos:R:3 pbc="T T T"
Cu 0.0000 0.0000 0.0000
Ge 2.5280 2.5280 2.7241
Sb 0.0000 2.5280 0.0000
Sb 2.5280 0.0000 0.0000
I 0.0000 0.0000 2.7241
```

Output
relative energy among the computed polymorphs: 0.0 meV per atom
volume: 27.86 Å³ per atom



## Tb16Pm7Er6 (PBE)

Data for a geometry-optimized Tb16Pm7Er6 structure.

```
29
Lattice="0.0000 7.9110 7.9110 7.9110 0.0000 7.9110 7.9110 7.9110 0.0000" Properties=species:S:1:pos:R:3 pbc="T T T"
Tb 10.2928 5.5291 5.5291
Tb 1.9964 1.9964 1.9964
Tb 5.9146 5.9146 1.9964
Tb 5.9146 1.9964 5.9146
Tb 5.5291 5.5291 5.5291
Tb 10.2928 10.2928 5.5291
Tb 10.2928 5.5291 10.2928
Tb 13.8255 9.9074 9.9074
Tb 1.9964 5.9146 5.9146
Tb 5.5291 10.2928 5.5291
Tb 5.5291 5.5291 10.2928
Tb 10.2928 10.2928 10.2928
Tb 9.9074 13.8255 9.9074
Tb 9.9074 9.9074 13.8255
Tb 13.8255 13.8255 13.8255
Tb 5.5291 10.2928 10.2928
Pm 0.0000 0.0000 0.0000
Pm 3.9555 3.9555 0.0000
Pm 3.9555 0.0000 3.9555
Pm 7.9110 3.9555 3.9555
Pm 0.0000 3.9555 3.9555
Pm 3.9555 7.9110 3.9555
Pm 3.9555 3.9555 7.9110
Er 7.9110 7.9110 4.1831
Er 7.9110 4.1831 7.9110
Er 11.6388 7.9110 7.9110
Er 4.1831 7.9110 7.9110
Er 7.9110 11.6388 7.9110
Er 7.9110 7.9110 11.6388
```

Output
calculated formation energy: 255 meV/atom
volume: 34.14 Å³ per atom



## ScPIr (PBE)

Data for a geometry-optimized ScPIr structure.

```
6
Lattice="3.1401 0.0000 0.0000 0.0000 4.0215 0.0000 0.0000 0.0000 7.7789" Properties=species:S:1:pos:R:3 pbc="T T T"
Sc 0.0000 0.0000 0.0000
Sc 1.5700 2.0108 3.8895
P 0.0000 0.0000 5.1815
P 1.5700 2.0108 1.2921
Ir 0.0000 0.0000 2.7994
Ir 1.5700 2.0108 6.6889
```

Output
calculated formation energy: -530 meV/atom
volume: 16.37 Å³ per atom



- Look up the volume of the ninth one.
  23.44 Å³ per atom



- Number 9 is which compound?
  AlTeRu2Au